# 1
Density functional theory data (GGA-PBEsol) for crystalline CoRuW2 at its relaxed geometry.

Unit cell a=3.832 b=3.832 c=3.718 alpha=90.00 beta=90.00 gamma=90.00
Space group P4/mmm (No. 123)
Inequivalent atoms, fractional coordinates:
Co (0.000, 0.000, 0.000) x1
Ru (0.500, 0.500, 0.000) x1
W (0.000, 0.500, 0.500) x2

Total DFT energy (no corrections): -11.342 eV/atom
DFT formation energy: 0.039 eV per atom


# 2
Density functional theory data (GGA-PBEsol) for crystalline Cr2ReW at its relaxed geometry.

Unit cell a=5.980 b=5.980 c=5.980 alpha=90.00 beta=90.00 gamma=90.00
Space group F-43m (No. 216)
Inequivalent atoms, fractional coordinates:
Cr (0.000, 0.000, 0.000) x4
Cr (0.250, 0.250, 0.250) x4
Re (0.000, 0.000, 0.500) x4
W (0.250, 0.250, 0.750) x4

Total DFT energy (no corrections): -11.823 eV/atom
DFT formation energy: 0.083 eV per atom


# 3
Density functional theory data (GGA-PBEsol) for crystalline Li4VCr3O8 at its relaxed geometry.

Unit cell a=5.024 b=5.831 c=5.047 alpha=90.00 beta=109.59 gamma=90.00
Space group P2/m (No. 10)
Inequivalent atoms, fractional coordinates:
Li (0.000, 0.000, 0.000) x1
Li (0.000, 0.248, 0.500) x2
Li (0.000, 0.500, 0.000) x1
V (0.500, 0.500, 0.500) x1
Cr (0.500, 0.000, 0.500) x1
Cr (0.500, 0.250, 0.000) x2
O (0.272, 0.500, 0.761) x2
O (0.274, 0.248, 0.256) x4
O (0.276, 0.000, 0.758) x2

Total DFT energy (no corrections): -7.710 eV/atom
Formation energy without anion corrections: -2072 meV per atom


> What is the formula in the first record?

CoRuW2